Entry 1:
Compound: Pr2YErSe4
Source: the Alexandria database
Functional: GGA-PBE
Structure: relaxed

Computed properties:
* E_form (uncorrected): -1795 meV/atom
* energy: -48.88 eV for the cell shown

Unit cell a=4.0849 b=7.1222 c=7.4054 alpha=108.50 beta=90.00 gamma=90.00
With the nearest neighbours (Å) after each atom.
Atoms (fractional coordinates):
Pr: 0.5000 0.0000 0.5000  6 Se 3.04
Pr: 0.0000 0.5000 0.5000  6 Se 3.02
Y: 0.0000 0.0000 0.0000  6 Se 2.88
Er: 0.5000 0.5000 0.0000  6 Se 2.86
Se: 0.5000 0.2460 0.2316  1 Er 2.86, 2 Y 2.88, 3 Pr 3.02-3.04
Se: 0.5000 0.7540 0.7684  1 Er 2.86, 2 Y 2.88, 3 Pr 3.02-3.04
Se: 0.0000 0.2593 0.7701  2 Er 2.86, 1 Y 2.88, 3 Pr 3.02-3.04
Se: 0.0000 0.7407 0.2299  2 Er 2.86, 1 Y 2.88, 3 Pr 3.02-3.04

=====

Entry 2:
Compound: ZrSb3O
Source: the Alexandria database
Functional: GGA-PBE
Structure: relaxed

Computed properties:
* E_form (uncorrected): -274 meV/atom
* relative energy among the computed polymorphs: 0.000 eV/atom
* energy: -27.24 eV for the cell shown

Unit cell a=4.7429 b=4.7429 c=4.7429 alpha=90.00 beta=90.00 gamma=90.00
With the nearest neighbours (Å) after each atom.
Atoms (fractional coordinates):
Sb: 0.0000 0.5000 0.0000  2 O 2.37
Sb: 0.0000 0.0000 0.5000  2 O 2.37
Sb: 0.5000 0.0000 0.0000  2 O 2.37
O: 0.0000 0.0000 0.0000  6 Sb 2.37
Zr: 0.5000 0.5000 0.5000  12 Sb 3.35

=====

Entry 3:
Compound: Ho2Er3Ru4
Source: the Alexandria database
Functional: GGA-PBE
Structure: relaxed

Computed properties:
* E_form: -375 meV/atom
* energy: -63.32 eV for the cell shown

Unit cell a=4.8302 b=4.8306 c=9.1695 alpha=90.00 beta=90.00 gamma=60.00
With the nearest neighbours (Å) after each atom.
Atoms (fractional coordinates):
Ho: 0.3333 0.3335 0.7949  7 Ru 2.85-3.12
Ho: 0.6667 0.6665 0.2051  7 Ru 2.85-3.12
Er: 0.3334 0.3332 0.4092  4 Ru 2.78-2.83
Er: 0.0000 0.0000 0.0000  8 Ru 2.95-3.27
Er: 0.6666 0.6668 0.5908  4 Ru 2.78-2.83
Ru: 0.6667 0.6667 0.8939  4 Er 2.78-2.95, 4 Ho 2.85-2.93
Ru: 0.0000 0.9999 0.3569  1 Ru 2.62, 3 Er 2.83
Ru: 0.0000 0.0001 0.6431  1 Ru 2.62, 3 Er 2.83
Ru: 0.3333 0.3333 0.1061  4 Er 2.78-2.95, 4 Ho 2.85-2.93

=====

Entry 4:
Compound: Ac2Pd3RhPb4
Source: the Alexandria database
Functional: GGA-PBE
Structure: relaxed

Computed properties:
* E_form: -506 meV/atom
* energy: -51.04 eV for the cell shown

Unit cell a=4.7748 b=4.7748 c=11.1639 alpha=90.00 beta=90.00 gamma=90.00
With the nearest neighbours (Å) after each atom.
Atoms (fractional coordinates):
Ac: 0.5000 0.0000 0.2649  2 Rh 3.55, 6 Pd 3.55-3.66, 9 Pb 3.61-3.97
Ac: 0.0000 0.5000 0.7351  2 Rh 3.55, 6 Pd 3.55-3.66, 9 Pb 3.61-3.97
Pd: 0.0000 0.0000 0.5000  4 Pb 2.74
Pd: 0.5000 0.0000 0.8617  5 Pb 2.70-2.84
Pd: 0.0000 0.5000 0.1383  5 Pb 2.70-2.84
Rh: 0.5000 0.5000 0.5000  4 Pb 2.74
Pb: 0.5000 0.5000 0.0000  4 Pd 2.84
Pb: 0.0000 0.0000 0.0000  4 Pd 2.84
Pb: 0.5000 0.0000 0.6202  3 Pd 2.70-2.74, 2 Rh 2.74
Pb: 0.0000 0.5000 0.3798  3 Pd 2.70-2.74, 2 Rh 2.74

=====

Entry 5:
Compound: NaHgGeAu
Source: the Alexandria database
Functional: GGA-PBE
Structure: relaxed

Computed properties:
* E_form: -83 meV/atom
* relative energy among the computed polymorphs: 0.000 eV/atom
* energy: -9.85 eV for the cell shown

Unit cell a=5.0181 b=3.5558 c=8.7997 alpha=113.41 beta=90.00 gamma=134.88
With the nearest neighbours (Å) after each atom.
Atoms (fractional coordinates):
Na: 0.6269 0.2539 0.4453  1 Au 3.13, 4 Hg 3.20-3.21, 4 Ge 3.33-3.35
Hg: 0.8601 0.7202 0.1722  1 Ge 3.10, 4 Na 3.20-3.21, 4 Au 3.24-3.41
Ge: 0.4199 0.8398 0.7468  4 Au 2.68-2.70
Au: 0.0474 0.0948 0.8748  4 Ge 2.68-2.70

=====

Entry 6:
Compound: Dy2HoSi2
Source: the Alexandria database
Functional: GGA-PBE
Structure: relaxed

Computed properties:
* E_form (uncorrected): -608 meV/atom
* relative energy among the computed polymorphs: 0.101 eV/atom
* energy: -55.34 eV for the cell shown

Unit cell a=4.2929 b=6.4272 c=9.5931 alpha=77.67 beta=77.07 gamma=70.49
With the nearest neighbours (Å) after each atom.
Atoms (fractional coordinates):
Dy: 0.3191 0.2743 0.0876  2 Si 2.97
Dy: 0.4836 0.3448 0.6881  6 Si 3.01-3.17
Dy: 0.6809 0.7257 0.9124  2 Si 2.97
Dy: 0.5164 0.6552 0.3119  6 Si 3.01-3.17
Ho: 0.7793 0.0803 0.3610  4 Si 2.82-2.95
Ho: 0.2207 0.9197 0.6390  4 Si 2.82-2.95
Si: 0.9778 0.1483 0.8961  1 Si 2.44
Si: 0.1112 0.3377 0.4399  1 Si 2.41
Si: 0.0222 0.8517 0.1039  1 Si 2.44
Si: 0.8888 0.6623 0.5601  1 Si 2.41

=====

Question: Which value of energy does entry 4 give?
Answer: -51.04 eV for the cell shown

=====

Please write out number 5 again, unchanged.
Compound: NaHgGeAu
Source: the Alexandria database
Functional: GGA-PBE
Structure: relaxed

Computed properties:
* E_form: -83 meV/atom
* relative energy among the computed polymorphs: 0.000 eV/atom
* energy: -9.85 eV for the cell shown

Unit cell a=5.0181 b=3.5558 c=8.7997 alpha=113.41 beta=90.00 gamma=134.88
With the nearest neighbours (Å) after each atom.
Atoms (fractional coordinates):
Na: 0.6269 0.2539 0.4453  1 Au 3.13, 4 Hg 3.20-3.21, 4 Ge 3.33-3.35
Hg: 0.8601 0.7202 0.1722  1 Ge 3.10, 4 Na 3.20-3.21, 4 Au 3.24-3.41
Ge: 0.4199 0.8398 0.7468  4 Au 2.68-2.70
Au: 0.0474 0.0948 0.8748  4 Ge 2.68-2.70

=====

Question: Which of these has the highest energy?
Answer: NaHgGeAu